Computed, not measured: K2SrUBr8 after structural relaxation at the PBE-GGA level of DFT.

The structure in CIF format:
```
data_K2SrUBr8
_symmetry_space_group_name_H-M 'P 1'
_symmetry_Int_Tables_number 1
_cell_length_a 7.1995
_cell_length_b 9.2683
_cell_length_c 7.5684
_cell_angle_alpha 90.00
_cell_angle_beta 92.71
_cell_angle_gamma 90.00
loop_
_symmetry_equiv_pos_as_xyz
'x,y,z'
loop_
_atom_site_label
_atom_site_type_symbol
_atom_site_fract_x
_atom_site_fract_y
_atom_site_fract_z
K1 K 0.0000 0.2453 0.0000
K2 K 0.0000 0.7547 0.0000
Sr1 Sr 0.5000 0.0000 0.5000
U1 U 0.5000 0.5000 0.5000
Br1 Br 0.2483 0.0000 0.1821
Br2 Br 0.2736 0.5000 0.1939
Br3 Br 0.2831 0.2779 0.6385
Br4 Br 0.2831 0.7221 0.6385
Br5 Br 0.7169 0.2779 0.3615
Br6 Br 0.7169 0.7221 0.3615
Br7 Br 0.7264 0.5000 0.8061
Br8 Br 0.7517 0.0000 0.8179
```

Calculated values
- symmetry = P2/m (10)
- formation energy (no corrections) (eV per atom) = -1.6392



Computed, not measured: KSrVBr6 after structural relaxation at the PBE-GGA level of DFT.

The structure in CIF format:
```
data_KSrVBr6
_symmetry_space_group_name_H-M 'P 1'
_symmetry_Int_Tables_number 1
_cell_length_a 7.4315
_cell_length_b 7.4315
_cell_length_c 13.8668
_cell_angle_alpha 90.00
_cell_angle_beta 90.00
_cell_angle_gamma 120.00
loop_
_symmetry_equiv_pos_as_xyz
'x,y,z'
loop_
_atom_site_label
_atom_site_type_symbol
_atom_site_fract_x
_atom_site_fract_y
_atom_site_fract_z
K1 K 0.0000 0.0000 0.0000
K2 K 0.0000 0.0000 0.5000
Sr1 Sr 0.3333 0.6667 0.2500
Sr2 Sr 0.6667 0.3333 0.7500
V1 V 0.3333 0.6667 0.7500
V2 V 0.6667 0.3333 0.2500
Br1 Br 0.0496 0.3910 0.6406
Br2 Br 0.0496 0.6586 0.8594
Br3 Br 0.3414 0.3910 0.8594
Br4 Br 0.3414 0.9504 0.6406
Br5 Br 0.3910 0.0496 0.1406
Br6 Br 0.3910 0.3414 0.3594
Br7 Br 0.6090 0.6586 0.6406
Br8 Br 0.6090 0.9504 0.8594
Br9 Br 0.6586 0.0496 0.3594
Br10 Br 0.6586 0.6090 0.1406
Br11 Br 0.9504 0.3414 0.1406
Br12 Br 0.9504 0.6090 0.3594
```

Calculated values
- symmetry = P-31c (163)
- formation energy (no corrections) (eV per atom) = -1.4540



Computed, not measured: KSr2VBr8 after structural relaxation at the PBE-GGA level of DFT.

The structure in CIF format:
```
data_KSr2VBr8
_symmetry_space_group_name_H-M 'P 1'
_symmetry_Int_Tables_number 1
_cell_length_a 6.6742
_cell_length_b 9.2621
_cell_length_c 6.9528
_cell_angle_alpha 90.00
_cell_angle_beta 90.31
_cell_angle_gamma 90.00
loop_
_symmetry_equiv_pos_as_xyz
'x,y,z'
loop_
_atom_site_label
_atom_site_type_symbol
_atom_site_fract_x
_atom_site_fract_y
_atom_site_fract_z
K1 K 0.0000 0.0000 0.0000
Sr1 Sr 0.5000 0.2568 0.5000
Sr2 Sr 0.5000 0.7432 0.5000
V1 V 0.0000 0.5000 0.0000
Br1 Br 0.2215 0.3034 0.1459
Br2 Br 0.2215 0.6966 0.1459
Br3 Br 0.2288 0.5000 0.6903
Br4 Br 0.2632 0.0000 0.6327
Br5 Br 0.7368 0.0000 0.3673
Br6 Br 0.7712 0.5000 0.3097
Br7 Br 0.7785 0.3034 0.8541
Br8 Br 0.7785 0.6966 0.8541
```

Calculated values
- symmetry = P2/m (10)
- formation energy (no corrections) (eV per atom) = -1.5684



Computed, not measured: KSr2VBr after structural relaxation at the PBE-GGA level of DFT.

The structure in CIF format:
```
data_KSr2VBr
_symmetry_space_group_name_H-M 'P 1'
_symmetry_Int_Tables_number 1
_cell_length_a 6.3925
_cell_length_b 6.3925
_cell_length_c 5.1185
_cell_angle_alpha 90.00
_cell_angle_beta 90.00
_cell_angle_gamma 90.00
loop_
_symmetry_equiv_pos_as_xyz
'x,y,z'
loop_
_atom_site_label
_atom_site_type_symbol
_atom_site_fract_x
_atom_site_fract_y
_atom_site_fract_z
K1 K 0.0000 0.0000 0.0000
Sr1 Sr 0.0000 0.5000 0.5000
Sr2 Sr 0.5000 0.0000 0.5000
V1 V 0.5000 0.5000 0.0000
Br1 Br 0.5000 0.5000 0.5000
```

Calculated values
- symmetry = P4/mmm (123)
- formation energy (no corrections) (eV per atom) = 0.1616



Computed, not measured: KSr2YBr8 after structural relaxation at the PBE-GGA level of DFT.

The structure in CIF format:
```
data_KSr2YBr8
_symmetry_space_group_name_H-M 'P 1'
_symmetry_Int_Tables_number 1
_cell_length_a 6.8528
_cell_length_b 9.4156
_cell_length_c 7.1724
_cell_angle_alpha 90.00
_cell_angle_beta 90.07
_cell_angle_gamma 90.00
loop_
_symmetry_equiv_pos_as_xyz
'x,y,z'
loop_
_atom_site_label
_atom_site_type_symbol
_atom_site_fract_x
_atom_site_fract_y
_atom_site_fract_z
K1 K 0.0000 0.0000 0.0000
Sr1 Sr 0.5000 0.2519 0.5000
Sr2 Sr 0.5000 0.7481 0.5000
Y1 Y 0.0000 0.5000 0.0000
Br1 Br 0.2320 0.2855 0.1560
Br2 Br 0.2320 0.7145 0.1560
Br3 Br 0.2497 0.5000 0.6755
Br4 Br 0.2598 0.0000 0.6286
Br5 Br 0.7402 0.0000 0.3714
Br6 Br 0.7503 0.5000 0.3245
Br7 Br 0.7680 0.2855 0.8440
Br8 Br 0.7680 0.7145 0.8440
```

Calculated values
- symmetry = P2/m (10)
- formation energy (no corrections) (eV per atom) = -1.9594



Computed, not measured: KSrYBr6 after structural relaxation at the PBE-GGA level of DFT.

The structure in CIF format:
```
data_KSrYBr6
_symmetry_space_group_name_H-M 'P 1'
_symmetry_Int_Tables_number 1
_cell_length_a 7.6959
_cell_length_b 7.6959
_cell_length_c 14.0958
_cell_angle_alpha 90.00
_cell_angle_beta 90.00
_cell_angle_gamma 120.00
loop_
_symmetry_equiv_pos_as_xyz
'x,y,z'
loop_
_atom_site_label
_atom_site_type_symbol
_atom_site_fract_x
_atom_site_fract_y
_atom_site_fract_z
K1 K 0.0000 0.0000 0.0000
K2 K 0.0000 0.0000 0.5000
Sr1 Sr 0.3333 0.6667 0.2500
Sr2 Sr 0.6667 0.3333 0.7500
Y1 Y 0.3333 0.6667 0.7500
Y2 Y 0.6667 0.3333 0.2500
Br1 Br 0.0244 0.3775 0.6343
Br2 Br 0.0244 0.6469 0.8657
Br3 Br 0.3531 0.3775 0.8657
Br4 Br 0.3531 0.9756 0.6343
Br5 Br 0.3775 0.0244 0.1343
Br6 Br 0.3775 0.3531 0.3657
Br7 Br 0.6225 0.6469 0.6343
Br8 Br 0.6225 0.9756 0.8657
Br9 Br 0.6469 0.0244 0.3657
Br10 Br 0.6469 0.6225 0.1343
Br11 Br 0.9756 0.3531 0.1343
Br12 Br 0.9756 0.6225 0.3657
```

Calculated values
- symmetry = P-31c (163)
- formation energy (no corrections) (eV per atom) = -1.9516



Computed, not measured: K2SrZnBr6 after structural relaxation at the PBE-GGA level of DFT.

The structure in CIF format:
```
data_K2SrZnBr6
_symmetry_space_group_name_H-M 'P 1'
_symmetry_Int_Tables_number 1
_cell_length_a 7.8655
_cell_length_b 7.8655
_cell_length_c 7.8655
_cell_angle_alpha 59.82
_cell_angle_beta 59.82
_cell_angle_gamma 59.82
loop_
_symmetry_equiv_pos_as_xyz
'x,y,z'
loop_
_atom_site_label
_atom_site_type_symbol
_atom_site_fract_x
_atom_site_fract_y
_atom_site_fract_z
K1 K 0.0000 0.0000 0.0000
K2 K 0.4976 0.4976 0.4976
Sr1 Sr 0.7729 0.7729 0.7729
Zn1 Zn 0.2735 0.2735 0.2735
Br1 Br 0.0543 0.5939 0.4221
Br2 Br 0.1273 0.5122 0.9587
Br3 Br 0.4221 0.0543 0.5939
Br4 Br 0.5122 0.9587 0.1273
Br5 Br 0.5939 0.4221 0.0543
Br6 Br 0.9587 0.1273 0.5122
```

Calculated values
- symmetry = R3 (146)
- formation energy (no corrections) (eV per atom) = -1.5360



Computed, not measured: KSrZr2Br after structural relaxation at the PBE-GGA level of DFT.

The structure in CIF format:
```
data_KSrZr2Br
_symmetry_space_group_name_H-M 'P 1'
_symmetry_Int_Tables_number 1
_cell_length_a 5.2125
_cell_length_b 5.2125
_cell_length_c 6.0620
_cell_angle_alpha 90.00
_cell_angle_beta 90.00
_cell_angle_gamma 90.00
loop_
_symmetry_equiv_pos_as_xyz
'x,y,z'
loop_
_atom_site_label
_atom_site_type_symbol
_atom_site_fract_x
_atom_site_fract_y
_atom_site_fract_z
K1 K 0.0000 0.0000 0.0000
Sr1 Sr 0.5000 0.5000 0.0000
Zr1 Zr 0.0000 0.5000 0.5000
Zr2 Zr 0.5000 0.0000 0.5000
Br1 Br 0.0000 0.0000 0.5000
```

Calculated values
- symmetry = P4/mmm (123)
- formation energy (no corrections) (eV per atom) = 0.3826



Computed, not measured: K3TaBr7 after structural relaxation at the PBE-GGA level of DFT.

The structure in CIF format:
```
data_K3TaBr7
_symmetry_space_group_name_H-M 'P 1'
_symmetry_Int_Tables_number 1
_cell_length_a 7.4073
_cell_length_b 7.4073
_cell_length_c 7.9369
_cell_angle_alpha 101.08
_cell_angle_beta 101.08
_cell_angle_gamma 93.21
loop_
_symmetry_equiv_pos_as_xyz
'x,y,z'
loop_
_atom_site_label
_atom_site_type_symbol
_atom_site_fract_x
_atom_site_fract_y
_atom_site_fract_z
K1 K 0.0000 0.0000 0.0000
K2 K 0.2811 0.7170 0.5442
K3 K 0.7170 0.2811 0.5442
Ta1 Ta 0.4887 0.4887 0.0403
Br1 Br 0.1653 0.5037 0.8544
Br2 Br 0.3341 0.3341 0.2569
Br3 Br 0.4682 0.8123 0.2207
Br4 Br 0.5037 0.1653 0.8544
Br5 Br 0.6458 0.6458 0.8301
Br6 Br 0.8123 0.4682 0.2207
Br7 Br 0.9583 0.9583 0.5884
```

Calculated values
- symmetry = Cm (8)
- formation energy (no corrections) (eV per atom) = -1.2941



Computed, not measured: K2TaBr after structural relaxation at the PBE-GGA level of DFT.

The structure in CIF format:
```
data_K2TaBr
_symmetry_space_group_name_H-M 'P 1'
_symmetry_Int_Tables_number 1
_cell_length_a 7.2181
_cell_length_b 7.2181
_cell_length_c 7.2181
_cell_angle_alpha 150.94
_cell_angle_beta 115.26
_cell_angle_gamma 72.50
loop_
_symmetry_equiv_pos_as_xyz
'x,y,z'
loop_
_atom_site_label
_atom_site_type_symbol
_atom_site_fract_x
_atom_site_fract_y
_atom_site_fract_z
K1 K 0.2116 0.2116 0.0000
K2 K 0.7884 0.7884 0.0000
Ta1 Ta 0.5000 0.0000 0.5000
Br1 Br 0.0000 0.5000 0.5000
```

Calculated values
- symmetry = Immm (71)
- distance to the lowest polymorph of the same formula (meV/atom) = 466
- formation energy (no corrections) (eV per atom) = 0.8095



Computed, not measured: KTa3Br after structural relaxation at the PBE-GGA level of DFT.

The structure in CIF format:
```
data_KTa3Br
_symmetry_space_group_name_H-M 'P 1'
_symmetry_Int_Tables_number 1
_cell_length_a 4.8239
_cell_length_b 4.8239
_cell_length_c 4.8239
_cell_angle_alpha 90.00
_cell_angle_beta 90.00
_cell_angle_gamma 90.00
loop_
_symmetry_equiv_pos_as_xyz
'x,y,z'
loop_
_atom_site_label
_atom_site_type_symbol
_atom_site_fract_x
_atom_site_fract_y
_atom_site_fract_z
K1 K 0.0000 0.0000 0.0000
Ta1 Ta 0.0000 0.0000 0.5000
Ta2 Ta 0.0000 0.5000 0.0000
Ta3 Ta 0.5000 0.0000 0.0000
Br1 Br 0.5000 0.5000 0.5000
```

Calculated values
- symmetry = Pm-3m (221)
- distance to the lowest polymorph of the same formula (meV/atom) = 1407
- formation energy (no corrections) (eV per atom) = 3.2440



Computed, not measured: K2Ta2Br after structural relaxation at the PBE-GGA level of DFT.

The structure in CIF format:
```
data_K2Ta2Br
_symmetry_space_group_name_H-M 'P 1'
_symmetry_Int_Tables_number 1
_cell_length_a 8.6059
_cell_length_b 8.6059
_cell_length_c 8.6059
_cell_angle_alpha 148.46
_cell_angle_beta 148.46
_cell_angle_gamma 45.21
loop_
_symmetry_equiv_pos_as_xyz
'x,y,z'
loop_
_atom_site_label
_atom_site_type_symbol
_atom_site_fract_x
_atom_site_fract_y
_atom_site_fract_z
K1 K 0.2500 0.7500 0.5000
K2 K 0.7500 0.2500 0.5000
Ta1 Ta 0.0698 0.0698 0.0000
Ta2 Ta 0.9302 0.9302 0.0000
Br1 Br 0.5000 0.5000 0.0000
```

Calculated values
- symmetry = I4/mmm (139)
- distance to the lowest polymorph of the same formula (meV/atom) = 532
- formation energy (no corrections) (eV per atom) = 1.6018



Question: What is the formation energy (no corrections) in the first record?
Answer: -1.6392 eV per atom



Copy entry 9 word for word.
Computed, not measured: K3TaBr7 after structural relaxation at the PBE-GGA level of DFT.

The structure in CIF format:
```
data_K3TaBr7
_symmetry_space_group_name_H-M 'P 1'
_symmetry_Int_Tables_number 1
_cell_length_a 7.4073
_cell_length_b 7.4073
_cell_length_c 7.9369
_cell_angle_alpha 101.08
_cell_angle_beta 101.08
_cell_angle_gamma 93.21
loop_
_symmetry_equiv_pos_as_xyz
'x,y,z'
loop_
_atom_site_label
_atom_site_type_symbol
_atom_site_fract_x
_atom_site_fract_y
_atom_site_fract_z
K1 K 0.0000 0.0000 0.0000
K2 K 0.2811 0.7170 0.5442
K3 K 0.7170 0.2811 0.5442
Ta1 Ta 0.4887 0.4887 0.0403
Br1 Br 0.1653 0.5037 0.8544
Br2 Br 0.3341 0.3341 0.2569
Br3 Br 0.4682 0.8123 0.2207
Br4 Br 0.5037 0.1653 0.8544
Br5 Br 0.6458 0.6458 0.8301
Br6 Br 0.8123 0.4682 0.2207
Br7 Br 0.9583 0.9583 0.5884
```

Calculated values
- symmetry = Cm (8)
- formation energy (no corrections) (eV per atom) = -1.2941



Question: Look up the formation energy (no corrections) of the third one.
Answer: -1.5684 eV per atom